Record 1
Material: BaGaHg2Bi
Method: DFT, PBE
State: optimized geometry

The value obtained for the volume is 168 Å³/f.u. The calculation puts the raw total energy at -2.19 eV/atom.

The space group is P4/mmm (No. 123) and the conventional cell measures 5.374, 5.374 and 5.800 Å, with angles of 90.00, 90.00 and 90.00 degrees. The distinct sites, in fractional coordinates, are Ba at (0.000, 0.000, 0.000), Ga at (0.500, 0.500, 0.500), Hg at (0.000, 0.500, 0.500) and Bi at (0.500, 0.500, 0.000).

---

Record 2
Material: Ba2InGaBi
Method: DFT, PBE
State: optimized geometry

The value obtained for the volume is 261 Å³/f.u. The calculation puts the raw total energy at -2.66 eV/atom.

The space group is P4/mmm (No. 123) and the conventional cell measures 6.723, 6.723 and 5.768 Å, with angles of 90.00, 90.00 and 90.00 degrees. The distinct sites, in fractional coordinates, are Ba at (0.000, 0.500, 0.000), In at (0.000, 0.000, 0.500), Ga at (0.500, 0.500, 0.500) and Bi at (0.000, 0.000, 0.000).

---

Record 3
Material: K2Ba2GaBi4
Method: DFT, PBE
State: optimized geometry

The value obtained for the volume is 341 Å³/f.u. The calculation puts the raw total energy at -3.15 eV/atom.

The space group is I4/mmm (No. 139) and the conventional cell measures 8.126, 8.126 and 10.344 Å, with angles of 90.00, 90.00 and 90.00 degrees. The distinct sites, in fractional coordinates, are K at (0.000, 0.000, 0.198), Ba at (0.000, 0.500, 0.250), Ga at (0.000, 0.000, 0.500) and Bi at (0.246, 0.246, 0.500).

---

Record 4
Material: K2BaGaBi2
Method: DFT, PBE
State: optimized geometry

The value obtained for the volume is 235 Å³/f.u. The calculation puts the raw total energy at -2.98 eV/atom.

The space group is Pmc2_1 (No. 26) and the conventional cell measures 5.105, 9.890 and 9.310 Å, with angles of 90.00, 90.00 and 90.00 degrees. The distinct sites, in fractional coordinates, are K at (0.000, 0.089, 0.000), K at (0.500, 0.163, 0.332), Ba at (0.500, 0.461, 0.975), Ga at (0.000, 0.328, 0.630), Bi at (0.000, 0.397, 0.251) and Bi at (0.500, 0.186, 0.710).

---

Record 5
Material: BaLiGaBi3
Method: DFT, PBE
State: optimized geometry

The value obtained for the volume is 212 Å³/f.u. The calculation puts the raw total energy at -3.40 eV/atom.

The space group is Cmcm (No. 63) and the conventional cell measures 6.961, 17.560 and 6.949 Å, with angles of 90.00, 90.00 and 90.00 degrees. The distinct sites, in fractional coordinates, are Ba at (0.000, 0.193, 0.250), Li at (0.000, 0.098, 0.750), Ga at (0.000, 0.405, 0.750), Bi at (0.000, 0.253, 0.750) and Bi at (0.241, 0.000, 0.000).

---

Record 6
Material: Ba2Li3GaBi4
Method: DFT, PBE
State: optimized geometry

The value obtained for the volume is 294 Å³/f.u. The calculation puts the raw total energy at -3.44 eV/atom.

The space group is P-4m2 (No. 115) and the conventional cell measures 5.030, 5.030 and 11.614 Å, with angles of 90.00, 90.00 and 90.00 degrees. The distinct sites, in fractional coordinates, are Ba at (0.000, 0.500, 0.247), Li at (0.000, 0.500, 0.874), Li at (0.500, 0.500, 0.500), Ga at (0.000, 0.000, 0.500), Bi at (0.000, 0.000, 0.000), Bi at (0.000, 0.500, 0.631) and Bi at (0.500, 0.500, 0.000).

---

Record 7
Material: BaLiGaBi2
Method: DFT, PBE
State: optimized geometry

The value obtained for the volume is 155 Å³/f.u. The calculation puts the raw total energy at -3.47 eV/atom.

The space group is I-4m2 (No. 119) and the conventional cell measures 4.772, 4.772 and 13.638 Å, with angles of 90.00, 90.00 and 90.00 degrees. The distinct sites, in fractional coordinates, are Ba at (0.000, 0.000, 0.000), Li at (0.000, 0.500, 0.250), Ga at (0.000, 0.500, 0.750) and Bi at (0.000, 0.000, 0.376).

---

Record 8
Material: BaMgGaBi2
Method: DFT, PBE
State: optimized geometry

The value obtained for the volume is 170 Å³/f.u. The calculation puts the raw total energy at -3.18 eV/atom.

The space group is Cmme (No. 67) and the conventional cell measures 6.453, 15.335 and 6.864 Å, with angles of 90.00, 90.00 and 90.00 degrees. The distinct sites, in fractional coordinates, are Ba at (0.000, 0.250, 0.230), Mg at (0.250, 0.000, 0.500), Ga at (0.000, 0.000, 0.000) and Bi at (0.000, 0.135, 0.725).